[1]
The following is a PBE calculation of crystalline Mg3Sn3Bi at its relaxed geometry, from Alexandria via LeMat-Bulk.

abc: 7.8905 7.8905 7.8905
angles: 90.00 90.00 90.00
Last column: nearest neighbours and their distance in Å.
Sites, in units of the cell vectors:
Mg: 0.0000 0.2500 0.5000  4 Sn 2.79
Mg: 0.0000 0.7500 0.5000  4 Sn 2.79
Mg: 0.2500 0.5000 0.0000  4 Sn 2.79
Mg: 0.5000 0.0000 0.2500  4 Sn 2.79
Mg: 0.5000 0.0000 0.7500  4 Sn 2.79
Mg: 0.7500 0.5000 0.0000  4 Sn 2.79
Sn: 0.0000 0.5000 0.2500  4 Mg 2.79
Sn: 0.0000 0.5000 0.7500  4 Mg 2.79
Sn: 0.2500 0.0000 0.5000  4 Mg 2.79
Sn: 0.5000 0.2500 0.0000  4 Mg 2.79
Sn: 0.5000 0.7500 0.0000  4 Mg 2.79
Sn: 0.7500 0.0000 0.5000  4 Mg 2.79
Bi: 0.0000 0.0000 0.0000  12 Sn 4.41, 12 Mg 4.41
Bi: 0.5000 0.5000 0.5000  12 Sn 4.41, 12 Mg 4.41

Properties
Space group = No. 223
Energy of formation from the pure elements = 586 meV per atom
Energy = -0.1740 Ry per atom
Total moment = 0.00 μB/cell



[2]
The following is a PBE calculation of crystalline MgSnBi at its relaxed geometry, from Alexandria via LeMat-Bulk.

abc: 5.3991 5.3991 3.3235
angles: 90.00 90.00 120.00
Last column: nearest neighbours and their distance in Å.
Sites, in units of the cell vectors:
Mg: 0.0000 0.0000 0.0000  2 Mg 3.32, 3 Sn 3.33, 3 Bi 3.34
Sn: 0.3333 0.6667 0.3543  3 Bi 3.26, 2 Sn 3.32, 3 Mg 3.33
Bi: 0.6667 0.3333 0.6391  3 Sn 3.26, 2 Bi 3.32, 3 Mg 3.34

Properties
Space group = No. 156
Energy of formation from the pure elements = 29 meV per atom
Energy = -0.2301 Ry per atom
Total moment = 0.00 μB/cell



> Which formula does entry 2 have?

MgSnBi